Below is a relaxed structure of NaEuY, with properties calculated at the PBE-GGA level.

The space group is P3m1 (No. 156) and the conventional cell measures 3.6774, 3.6774 and 9.3644 Å, with angles of 90.00, 90.00 and 120.00 degrees. The asymmetric unit holds Na at (0.0000, 0.0000, 0.0000), Eu at (0.6667, 0.3333, 0.3533) and Y at (0.3333, 0.6667, 0.6694).

The energy of formation is 15 kJ/mol of atoms. Its relative energy among the computed polymorphs is 0 meV per atom.